[1]
Material: Mg3MnOs
Method: DFT, GGA-PBEsol
State: optimized geometry

abc: 4.6758 4.6758 4.6758
angles: 90.00 90.00 90.00
Last column: nearest neighbours and their distance in Å.
Atoms (fractional coordinates):
Mg  0.0000  0.0000  0.5000  2 Mn 2.34
Mg  0.0000  0.5000  0.0000  2 Mn 2.34
Mg  0.5000  0.0000  0.0000  2 Mn 2.34
Mn  0.0000  0.0000  0.0000  6 Mg 2.34
Os  0.5000  0.5000  0.5000  12 Mg 3.31

Values from the calculation:
**DFT formation energy**: 1630 meV per atom
**Space-group type**: Pm-3m



[2]
Material: Re2Si8MoW
Method: DFT, GGA-PBEsol
State: optimized geometry

abc: 3.1807 3.1807 15.5942
angles: 90.00 90.00 90.00
Last column: nearest neighbours and their distance in Å.
Atoms (fractional coordinates):
Re  0.0000  0.0000  0.0000  10 Si 2.57-2.62
Re  0.5000  0.5000  0.2462  10 Si 2.56-2.63
Si  0.0000  0.0000  0.1647  5 Re 2.57-2.58, 5 Si 2.59-2.61
Si  0.0000  0.0000  0.3321  1 Mo 2.56, 5 Si 2.59-2.61, 4 Re 2.62
Si  0.0000  0.0000  0.6644  5 Si 2.60-2.61, 4 W 2.61, 1 Mo 2.62
Si  0.0000  0.0000  0.8317  4 W 2.59, 5 Si 2.59-2.61, 1 Re 2.62
Si  0.5000  0.5000  0.0819  5 Re 2.56-2.59, 5 Si 2.59-2.61
Si  0.5000  0.5000  0.4151  4 Mo 2.58, 5 Si 2.59, 1 Re 2.63
Si  0.5000  0.5000  0.5810  5 Si 2.59-2.60, 4 Mo 2.61, 1 W 2.63
Si  0.5000  0.5000  0.9146  1 W 2.57, 5 Si 2.59-2.61, 4 Re 2.61
Mo  0.0000  0.0000  0.4963  10 Si 2.56-2.62
W  0.5000  0.5000  0.7499  10 Si 2.57-2.63

Values from the calculation:
**Space-group type**: P4mm
**Energy relative to the elements, uncorrected**: -0.420 eV/atom



[3]
Material: LaHf3Te
Method: DFT, GGA-PBEsol
State: optimized geometry

abc: 5.1139 5.1139 5.1139
angles: 90.00 90.00 90.00
Last column: nearest neighbours and their distance in Å.
Atoms (fractional coordinates):
La  0.0000  0.0000  0.0000  6 Hf 2.56
Hf  0.0000  0.0000  0.5000  2 La 2.56
Hf  0.0000  0.5000  0.0000  2 La 2.56
Hf  0.5000  0.0000  0.0000  2 La 2.56
Te  0.5000  0.5000  0.5000  12 Hf 3.62

Values from the calculation:
**Space-group type**: Pm-3m
**Energy relative to the elements, uncorrected**: 1.406 eV/atom



[4]
Material: Ce2TeSe
Method: DFT, GGA-PBEsol
State: optimized geometry

abc: 4.2784 4.2784 6.0563
angles: 90.00 90.00 90.00
Last column: nearest neighbours and their distance in Å.
Atoms (fractional coordinates):
Ce  0.0000  0.0000  0.0000  4 Se 3.03, 2 Te 3.03
Ce  0.5000  0.5000  0.5000  4 Te 3.03, 2 Se 3.03
Te  0.0000  0.0000  0.5000  6 Ce 3.03
Se  0.5000  0.5000  0.0000  6 Ce 3.03

Values from the calculation:
**Space-group type**: P4/mmm
**Energy relative to the elements, uncorrected**: -1.493 eV/atom



Going through the records in order, we get spin magnetization values of 5.18; 0.00; 0.00; 1.58 μB per cell.
Going through the records in order, we get Fermi-level density of states values of 7.48; 3.71; 5.56; 12.51 states/eV per cell.
Going through the records in order, we get calculated density values of 5.2; 9.2; 10.0; 7.3 g/cm³.